Entry 1:
VASP calculation (PBE-GGA) on Li2Mg2Cd2In after structural relaxation.

Calculated values
DFT formation energy = -172 meV per atom
magnetic moment = 0.000 μB/f.u.
calculated total energy = -12.8 eV per formula unit

abc: 7.511 7.511 7.511
angles: 37.72 37.72 37.72
Fractional positions:
Li1 0.067 0.067 0.067
Li2 0.933 0.933 0.933
Mg1 0.216 0.216 0.216
Mg2 0.784 0.784 0.784
Cd1 0.356 0.356 0.356
Cd2 0.644 0.644 0.644
In1 0.500 0.500 0.500

---

Entry 2:
VASP calculation (PBE-GGA) on KTm2AgF8 after structural relaxation.

Calculated values
uncorrected formation energy = -40.87 eV/f.u.
magnetic moment = 0.101 μB/f.u.
calculated total energy = -68.7 eV per formula unit

abc: 6.118 3.808 7.596
angles: 90.00 90.05 90.00
Fractional positions:
K1 0.000 0.000 0.000
Tm1 0.500 0.500 0.251
Tm2 0.500 0.500 0.749
Ag1 0.000 0.000 0.500
F1 0.294 0.500 0.500
F2 0.296 0.000 0.745
F3 0.297 0.000 0.254
F4 0.299 0.500 0.000
F5 0.701 0.500 0.000
F6 0.703 0.000 0.746
F7 0.704 0.000 0.255
F8 0.706 0.500 0.500

---

Entry 3:
VASP calculation (PBE-GGA) on KIr2Os after structural relaxation.

Calculated values
DFT formation energy = 1448 meV per atom
magnetic moment = 0.000 μB/f.u.
calculated total energy = -24.3 eV per formula unit
polymorph energy (0 for the lowest one) = 967 meV per atom

abc: 4.903 4.903 4.903
angles: 130.39 130.39 72.79
Fractional positions:
K1 0.000 0.000 0.000
Ir1 0.500 0.500 0.000
Ir2 0.750 0.250 0.500
Os1 0.250 0.750 0.500

---

Entry 4:
VASP calculation (PBE-GGA) on SrLiLa2 after structural relaxation.

Calculated values
DFT formation energy = 252 meV per atom
magnetic moment = 0.000 μB/f.u.
calculated total energy = -12.4 eV per formula unit
polymorph energy (0 for the lowest one) = 178 meV per atom

abc: 6.889 6.889 3.644
angles: 90.00 90.00 119.30
Fractional positions:
Sr1 0.000 0.000 0.000
Li1 0.500 0.500 0.000
La1 0.000 0.500 0.500
La2 0.500 0.000 0.500